CsNa | GGA-PBE | optimized geometry

abc: 8.060 13.105 21.672
angles: 90.00 90.00 90.00
Space group Fddd (No. 70, origin choice 2)
One atom of each set of equivalent atoms:
Cs (0.125, 0.292, 0.125)
Na (0.125, 0.125, 0.544)

Summary:
N(E_F) = 23.6 states/eV/cell
ΔE_f = 0.05 eV/atom
calculated volume = 143 Å³/f.u.
crystal system = orthorhombic